[1]
The following is a GGA-PBE calculation of a relaxed LaV2Re crystal, from Alexandria.

extended XYZ file:
```
4
Lattice="0.000 3.242 3.242 3.242 0.000 3.242 3.242 3.242 0.000" Properties=species:S:1:pos:R:3 pbc="T T T"
La 0.000 0.000 0.000
V 1.621 1.621 1.621
V 4.864 4.864 4.864
Re 3.242 3.242 3.242
```

Results
Energy of formation (eV/atom): 0.431
Spin magnetization (μB per formula unit): 0.0
ρ (g cm⁻³): 10.40

***

[2]
The following is a GGA-PBE calculation of a relaxed LaRe2W2 crystal, from Alexandria.

extended XYZ file:
```
5
Lattice="-2.188 2.188 5.415 2.188 -2.188 5.415 2.188 2.188 -5.415" Properties=species:S:1:pos:R:3 pbc="T T T"
La 0.000 0.000 0.000
Re 0.000 0.000 4.081
Re 0.000 0.000 6.749
W 2.188 0.000 2.707
W 0.000 2.188 2.707
```

Results
Energy of formation (eV/atom): 0.143
Spin magnetization (μB per formula unit): 0.0
ρ (g cm⁻³): 14.08

***

[3]
The following is a GGA-PBE calculation of a relaxed LaRe3W crystal, from Alexandria.

extended XYZ file:
```
5
Lattice="4.826 0.000 0.000 0.000 4.826 0.000 0.000 0.000 4.826" Properties=species:S:1:pos:R:3 pbc="T T T"
La 0.000 0.000 0.000
Re 0.000 2.413 2.413
Re 2.413 0.000 2.413
Re 2.413 2.413 0.000
W 2.413 2.413 2.413
```

Results
Energy of formation (eV/atom): 1.392
Spin magnetization (μB per formula unit): 1.0
ρ (g cm⁻³): 13.02

***

[4]
The following is a GGA-PBE calculation of a relaxed LaRe2W2 crystal, from Alexandria.

extended XYZ file:
```
5
Lattice="-2.204 2.204 5.365 2.204 -2.204 5.365 2.204 2.204 -5.365" Properties=species:S:1:pos:R:3 pbc="T T T"
La 0.000 0.000 0.000
Re 2.204 0.000 2.683
Re 0.000 2.204 2.683
W 0.000 0.000 3.997
W 0.000 0.000 6.733
```

Results
Energy of formation (eV/atom): 0.280
Spin magnetization (μB per formula unit): 0.0
ρ (g cm⁻³): 14.00

***

[5]
The following is a GGA-PBE calculation of a relaxed LaReW4 crystal, from Alexandria.

extended XYZ file:
```
6
Lattice="0.000 3.842 3.842 3.842 0.000 3.842 3.842 3.842 0.000" Properties=species:S:1:pos:R:3 pbc="T T T"
La 0.000 0.000 0.000
Re 5.763 5.763 5.763
W 2.883 2.883 2.883
W 4.801 4.801 2.883
W 4.801 2.883 4.801
W 2.883 4.801 4.801
```

Results
Energy of formation (eV/atom): 0.632
Spin magnetization (μB per formula unit): 0.0
ρ (g cm⁻³): 15.53

***

[6]
The following is a GGA-PBE calculation of a relaxed La3ReW crystal, from Alexandria.

extended XYZ file:
```
5
Lattice="5.406 0.000 0.000 0.000 5.406 0.000 0.000 0.000 5.406" Properties=species:S:1:pos:R:3 pbc="T T T"
La 0.000 0.000 2.703
La 0.000 2.703 0.000
La 2.703 0.000 0.000
Re 0.000 0.000 0.000
W 2.703 2.703 2.703
```

Results
Energy of formation (eV/atom): 1.197
Spin magnetization (μB per formula unit): 0.0
ρ (g cm⁻³): 8.27

***

[7]
The following is a GGA-PBE calculation of a relaxed LaY2ReW crystal, from Alexandria.

extended XYZ file:
```
5
Lattice="5.458 0.000 0.000 0.000 5.458 0.000 0.000 0.000 4.828" Properties=species:S:1:pos:R:3 pbc="T T T"
La 0.000 0.000 0.000
Y 0.000 2.729 2.414
Y 2.729 0.000 2.414
Re 2.729 2.729 0.000
W 2.729 2.729 2.414
```

Results
Energy of formation (eV/atom): 0.746
Spin magnetization (μB per formula unit): 0.0
ρ (g cm⁻³): 7.93

***

[8]
The following is a GGA-PBE calculation of a relaxed LaZnReW2 crystal, from Alexandria.

extended XYZ file:
```
5
Lattice="4.801 0.000 0.000 0.000 4.801 0.000 0.000 0.000 5.584" Properties=species:S:1:pos:R:3 pbc="T T T"
La 0.000 0.000 0.000
Zn 2.401 2.401 0.000
Re 0.000 0.000 2.792
W 0.000 2.401 2.792
W 2.401 0.000 2.792
```

Results
Energy of formation (eV/atom): 1.440
Spin magnetization (μB per formula unit): 0.0
ρ (g cm⁻³): 9.78

***

[9]
The following is a GGA-PBE calculation of a relaxed LaZnReW2 crystal, from Alexandria.

extended XYZ file:
```
5
Lattice="4.841 0.000 0.000 0.000 4.841 0.000 0.000 0.000 4.943" Properties=species:S:1:pos:R:3 pbc="T T T"
La 0.000 0.000 0.000
Zn 2.421 2.421 0.000
Re 2.421 2.421 2.472
W 0.000 2.421 2.472
W 2.421 0.000 2.472
```

Results
Energy of formation (eV/atom): 1.029
Spin magnetization (μB per formula unit): 0.0
ρ (g cm⁻³): 10.87

***

[10]
The following is a GGA-PBE calculation of a relaxed La2YRe crystal, from Alexandria.

extended XYZ file:
```
4
Lattice="6.305 -1.851 0.000 6.305 1.851 0.000 -2.383 0.000 5.015" Properties=species:S:1:pos:R:3 pbc="T T T"
La 0.000 0.000 0.000
La 0.790 0.000 3.497
Y 9.452 0.000 1.558
Re 5.247 0.000 2.309
```

Results
Energy of formation (eV/atom): 0.241
Spin magnetization (μB per formula unit): 0.0
ρ (g cm⁻³): 7.85

***

[11]
The following is a GGA-PBE calculation of a relaxed La2YRe crystal, from Alexandria.

extended XYZ file:
```
4
Lattice="1.738 1.003 11.183 -1.738 1.003 11.183 0.000 -2.007 11.183" Properties=species:S:1:pos:R:3 pbc="T T T"
La 0.000 0.000 3.410
La 0.000 0.000 30.139
Y 0.000 0.000 0.000
Re 0.000 0.000 16.774
```

Results
Energy of formation (eV/atom): 0.531
Spin magnetization (μB per formula unit): 0.0
ρ (g cm⁻³): 7.85

***

[12]
The following is a GGA-PBE calculation of a relaxed La2YRe crystal, from Alexandria.

extended XYZ file:
```
4
Lattice="-1.835 2.736 5.637 1.835 -2.736 5.637 1.835 2.736 -5.637" Properties=species:S:1:pos:R:3 pbc="T T T"
La 0.000 0.000 2.212
La 0.000 0.000 9.062
Y 0.000 2.736 0.000
Re 1.835 0.000 0.000
```

Results
Energy of formation (eV/atom): 0.219
Spin magnetization (μB per formula unit): 0.0
ρ (g cm⁻³): 8.11

***

[13]
The following is a GGA-PBE calculation of a relaxed LaY3Re crystal, from Alexandria.

extended XYZ file:
```
5
Lattice="5.347 0.000 0.000 0.000 5.347 0.000 0.000 0.000 5.347" Properties=species:S:1:pos:R:3 pbc="T T T"
La 0.000 0.000 0.000
Y 0.000 0.000 2.674
Y 0.000 2.674 0.000
Y 2.674 0.000 0.000
Re 2.674 2.674 2.674
```

Results
Energy of formation (eV/atom): 1.811
Spin magnetization (μB per formula unit): 0.0
ρ (g cm⁻³): 6.43

***

[14]
The following is a GGA-PBE calculation of a relaxed La2YRe crystal, from Alexandria.

extended XYZ file:
```
4
Lattice="0.000 3.716 3.716 3.716 0.000 3.716 3.716 3.716 0.000" Properties=species:S:1:pos:R:3 pbc="T T T"
La 0.000 0.000 0.000
La 1.858 1.858 1.858
Y 5.574 5.574 5.574
Re 3.716 3.716 3.716
```

Results
Energy of formation (eV/atom): 0.396
Spin magnetization (μB per formula unit): 0.0
ρ (g cm⁻³): 8.95

***

[15]
The following is a GGA-PBE calculation of a relaxed La2YRe crystal, from Alexandria.

extended XYZ file:
```
4
Lattice="3.212 -5.451 0.000 3.212 5.451 0.000 -1.539 0.000 2.952" Properties=species:S:1:pos:R:3 pbc="T T T"
La 1.606 2.726 0.000
La 1.606 -2.726 0.000
Y -0.770 0.000 1.476
Re 2.442 0.000 1.476
```

Results
Energy of formation (eV/atom): 0.555
Spin magnetization (μB per formula unit): 0.0
ρ (g cm⁻³): 8.88

***

[16]
The following is a GGA-PBE calculation of a relaxed LaYRe3 crystal, from Alexandria.

extended XYZ file:
```
5
Lattice="4.865 0.000 0.000 0.000 4.865 0.000 0.000 0.000 4.865" Properties=species:S:1:pos:R:3 pbc="T T T"
La 0.000 0.000 0.000
Y 2.433 2.433 2.433
Re 0.000 0.000 2.433
Re 0.000 2.433 0.000
Re 2.433 0.000 0.000
```

Results
Energy of formation (eV/atom): 2.161
Spin magnetization (μB per formula unit): 0.0
ρ (g cm⁻³): 11.34

***

[17]
The following is a GGA-PBE calculation of a relaxed LaYRe crystal, from Alexandria.

extended XYZ file:
```
3
Lattice="0.000 3.454 3.454 3.454 0.000 3.454 3.454 3.454 0.000" Properties=species:S:1:pos:R:3 pbc="T T T"
La 0.000 0.000 0.000
Y 3.454 3.454 3.454
Re 5.181 5.181 5.181
```

Results
Energy of formation (eV/atom): 0.300
Spin magnetization (μB per formula unit): 0.0
ρ (g cm⁻³): 8.34

***

[18]
The following is a GGA-PBE calculation of a relaxed LaYRe4 crystal, from Alexandria.

extended XYZ file:
```
6
Lattice="0.000 3.882 3.882 3.882 0.000 3.882 3.882 3.882 0.000" Properties=species:S:1:pos:R:3 pbc="T T T"
La 0.000 0.000 0.000
Y 1.941 1.941 1.941
Re 4.852 2.912 2.912
Re 2.912 4.852 2.912
Re 2.912 2.912 4.852
Re 4.852 4.852 4.852
```

Results
Energy of formation (eV/atom): 0.003
Spin magnetization (μB per formula unit): 0.0
ρ (g cm⁻³): 13.80

***

[19]
The following is a GGA-PBE calculation of a relaxed LaYRe crystal, from Alexandria.

extended XYZ file:
```
3
Lattice="0.000 2.478 6.802 2.469 0.000 6.802 2.469 2.478 0.000" Properties=species:S:1:pos:R:3 pbc="T T T"
La 0.000 0.000 0.000
Y 2.469 2.478 3.379
Re 2.469 2.478 8.551
```

Results
Energy of formation (eV/atom): 0.202
Spin magnetization (μB per formula unit): 0.0
ρ (g cm⁻³): 8.26

***

[20]
The following is a GGA-PBE calculation of a relaxed La2YRe crystal, from Alexandria.

extended XYZ file:
```
4
Lattice="4.697 0.000 0.000 0.000 4.697 0.000 0.000 0.000 4.782" Properties=species:S:1:pos:R:3 pbc="T T T"
La 0.000 2.349 0.000
La 2.349 0.000 0.000
Y 0.000 0.000 2.391
Re 2.349 2.349 2.391
```

Results
Energy of formation (eV/atom): 0.445
Spin magnetization (μB per formula unit): 0.0
ρ (g cm⁻³): 8.70

***

[21]
The following is a GGA-PBE calculation of a relaxed La2YRe crystal, from Alexandria.

extended XYZ file:
```
4
Lattice="3.560 0.000 0.000 0.000 3.560 0.000 0.000 0.000 9.175" Properties=species:S:1:pos:R:3 pbc="T T T"
La 0.000 0.000 1.760
La 0.000 0.000 7.415
Y 1.780 1.780 4.588
Re 1.780 1.780 0.000
```

Results
Energy of formation (eV/atom): 0.288
Spin magnetization (μB per formula unit): 0.0
ρ (g cm⁻³): 7.89

***

[22]
The following is a GGA-PBE calculation of a relaxed La2YRe crystal, from Alexandria.

extended XYZ file:
```
4
Lattice="3.507 0.000 0.000 0.000 3.507 0.000 0.000 0.000 9.487" Properties=species:S:1:pos:R:3 pbc="T T T"
La 0.000 0.000 0.000
La 1.753 1.753 3.068
Y 0.000 0.000 6.069
Re 1.753 1.753 7.754
```

Results
Energy of formation (eV/atom): 0.220
Spin magnetization (μB per formula unit): 0.0
ρ (g cm⁻³): 7.87

***

[23]
The following is a GGA-PBE calculation of a relaxed La2YRe crystal, from Alexandria.

extended XYZ file:
```
4
Lattice="3.768 0.000 0.000 0.000 4.563 0.000 -1.478 0.000 6.502" Properties=species:S:1:pos:R:3 pbc="T T T"
La -0.008 0.000 1.877
La 2.298 0.000 4.625
Y 1.884 2.281 0.000
Re 1.145 2.281 3.251
```

Results
Energy of formation (eV/atom): 0.373
Spin magnetization (μB per formula unit): 0.0
ρ (g cm⁻³): 8.21

***

[24]
The following is a GGA-PBE calculation of a relaxed LaY4Re crystal, from Alexandria.

extended XYZ file:
```
6
Lattice="0.000 4.389 4.389 4.389 0.000 4.389 4.389 4.389 0.000" Properties=species:S:1:pos:R:3 pbc="T T T"
La 0.000 0.000 0.000
Y 3.306 3.306 3.306
Y 5.472 5.472 3.306
Y 5.472 3.306 5.472
Y 3.306 5.472 5.472
Re 6.584 6.584 6.584
```

Results
Energy of formation (eV/atom): 0.862
Spin magnetization (μB per formula unit): 1.4
ρ (g cm⁻³): 6.68

***

[25]
The following is a GGA-PBE calculation of a relaxed La4YRe crystal, from Alexandria.

extended XYZ file:
```
6
Lattice="0.000 4.453 4.453 4.453 0.000 4.453 4.453 4.453 0.000" Properties=species:S:1:pos:R:3 pbc="T T T"
La 1.095 1.095 1.095
La 3.358 3.358 1.095
La 3.358 1.095 3.358
La 1.095 3.358 3.358
Y 4.453 4.453 4.453
Re 6.679 6.679 6.679
```

Results
Energy of formation (eV/atom): 0.847
Spin magnetization (μB per formula unit): 0.0
ρ (g cm⁻³): 7.81

***

[26]
The following is a GGA-PBE calculation of a relaxed La2YRe crystal, from Alexandria.

extended XYZ file:
```
4
Lattice="3.626 0.000 0.000 0.000 2.341 7.522 0.000 -2.341 7.522" Properties=species:S:1:pos:R:3 pbc="T T T"
La 0.000 0.000 0.000
La 1.813 0.000 4.944
Y 1.813 0.000 9.790
Re 0.000 0.000 2.620
```

Results
Energy of formation (eV/atom): 0.262
Spin magnetization (μB per formula unit): 0.0
ρ (g cm⁻³): 7.19

***

[27]
The following is a GGA-PBE calculation of a relaxed LaYRe crystal, from Alexandria.

extended XYZ file:
```
3
Lattice="4.819 0.000 0.000 -2.409 4.173 0.000 0.000 0.000 3.618" Properties=species:S:1:pos:R:3 pbc="T T T"
La 0.000 0.000 0.000
Y 2.409 1.391 1.954
Re 0.000 2.782 0.783
```

Results
Energy of formation (eV/atom): 0.368
Spin magnetization (μB per formula unit): 0.0
ρ (g cm⁻³): 9.45

***

[28]
The following is a GGA-PBE calculation of a relaxed La2YRe crystal, from Alexandria.

extended XYZ file:
```
4
Lattice="0.000 3.756 3.756 3.756 0.000 3.756 3.756 3.756 0.000" Properties=species:S:1:pos:R:3 pbc="T T T"
La 1.878 1.878 1.878
La 5.634 5.634 5.634
Y 0.000 0.000 0.000
Re 3.756 3.756 3.756
```

Results
Energy of formation (eV/atom): 0.443
Spin magnetization (μB per formula unit): 0.0
ρ (g cm⁻³): 8.66

***

[29]
The following is a GGA-PBE calculation of a relaxed LaY3Re crystal, from Alexandria.

extended XYZ file:
```
5
Lattice="5.494 0.000 0.000 0.000 5.494 0.000 0.000 0.000 5.494" Properties=species:S:1:pos:R:3 pbc="T T T"
La 0.000 0.000 0.000
Y 0.000 2.747 2.747
Y 2.747 0.000 2.747
Y 2.747 2.747 0.000
Re 2.747 2.747 2.747
```

Results
Energy of formation (eV/atom): 0.231
Spin magnetization (μB per formula unit): 0.0
ρ (g cm⁻³): 5.93

***

[30]
The following is a GGA-PBE calculation of a relaxed La2YRe crystal, from Alexandria.

extended XYZ file:
```
8
Lattice="-4.514 4.514 3.068 4.514 -4.514 3.068 4.514 4.514 -3.068" Properties=species:S:1:pos:R:3 pbc="T T T"
La 6.771 1.449 -0.767
La 1.449 2.257 0.767
La -2.257 3.065 2.301
La 3.065 2.257 3.835
Y 4.514 0.000 1.534
Y 0.000 0.000 3.068
Re 0.000 0.000 0.000
Re 0.000 4.514 1.534
```

Results
Energy of formation (eV/atom): 0.419
Spin magnetization (μB per formula unit): 0.0
ρ (g cm⁻³): 7.34